Record 1
DFT (GGA-PBEsol) results for a relaxed Mo2PRh crystal. Values from VASP.

Properties
SG	No. 166
formation energy	-0.07	eV/atom

```
&SYSTEM
  ibrav = 0, nat = 12, ntyp = 3
/
ATOMIC_SPECIES
Mo 95.94 Mo.upf
P 30.97 P.upf
Rh 102.91 Rh.upf
ATOMIC_POSITIONS crystal
Mo 0.0000 0.0000 0.2447
Mo 0.0000 0.0000 0.7553
Mo 0.3333 0.6667 0.4220
Mo 0.3333 0.6667 0.9114
Mo 0.6667 0.3333 0.0886
Mo 0.6667 0.3333 0.5780
P 0.0000 0.0000 0.5000
P 0.3333 0.6667 0.1667
P 0.6667 0.3333 0.8333
Rh 0.0000 0.0000 0.0000
Rh 0.3333 0.6667 0.6667
Rh 0.6667 0.3333 0.3333
CELL_PARAMETERS angstrom
2.8023 0.0000 0.0000
-1.4011 2.4269 0.0000
0.0000 0.0000 24.7227
```



Record 2
DFT (GGA-PBEsol) results for a relaxed Mo2PRh crystal. Values from VASP.

Properties
SG	No. 71
formation energy	-0.24	eV/atom

```
&SYSTEM
  ibrav = 0, nat = 8, ntyp = 3
/
ATOMIC_SPECIES
Mo 95.94 Mo.upf
P 30.97 P.upf
Rh 102.91 Rh.upf
ATOMIC_POSITIONS crystal
Mo 0.0000 0.0000 0.2229
Mo 0.0000 0.0000 0.7771
Mo 0.5000 0.5000 0.2771
Mo 0.5000 0.5000 0.7229
P 0.0000 0.5000 0.5000
P 0.5000 0.0000 0.0000
Rh 0.0000 0.5000 0.0000
Rh 0.5000 0.0000 0.5000
CELL_PARAMETERS angstrom
2.9532 0.0000 0.0000
0.0000 4.3846 0.0000
0.0000 0.0000 8.5816
```



Record 3
DFT (GGA-PBEsol) results for a relaxed Mo3PRh crystal. Values from VASP.

Properties
SG	No. 221
formation energy	0.71	eV/atom

```
&SYSTEM
  ibrav = 0, nat = 5, ntyp = 3
/
ATOMIC_SPECIES
Mo 95.94 Mo.upf
P 30.97 P.upf
Rh 102.91 Rh.upf
ATOMIC_POSITIONS crystal
Mo 0.0000 0.0000 0.5000
Mo 0.0000 0.5000 0.0000
Mo 0.5000 0.0000 0.0000
P 0.0000 0.0000 0.0000
Rh 0.5000 0.5000 0.5000
CELL_PARAMETERS angstrom
4.3476 0.0000 0.0000
0.0000 4.3476 0.0000
0.0000 0.0000 4.3476
```



Record 4
DFT (GGA-PBEsol) results for a relaxed MoP2Rh crystal. Values from VASP.

Properties
SG	No. 99
formation energy	-0.11	eV/atom

```
&SYSTEM
  ibrav = 0, nat = 4, ntyp = 3
/
ATOMIC_SPECIES
Mo 95.94 Mo.upf
P 30.97 P.upf
Rh 102.91 Rh.upf
ATOMIC_POSITIONS crystal
Mo 0.0000 0.0000 0.0000
P 0.0000 0.0000 0.5477
P 0.5000 0.5000 0.1887
Rh 0.5000 0.5000 0.7300
CELL_PARAMETERS angstrom
2.8743 0.0000 0.0000
0.0000 2.8743 0.0000
0.0000 0.0000 7.3089
```



Record 5
DFT (GGA-PBEsol) results for a relaxed MoPRhS2 crystal. Values from VASP.

Properties
SG	No. 123
ΔE to the lowest computed polymorph	151	meV/atom

```
&SYSTEM
  ibrav = 0, nat = 5, ntyp = 4
/
ATOMIC_SPECIES
Mo 95.94 Mo.upf
P 30.97 P.upf
Rh 102.91 Rh.upf
S 32.06 S.upf
ATOMIC_POSITIONS crystal
Mo 0.0000 0.0000 0.0000
P 0.5000 0.5000 0.0000
Rh 0.5000 0.5000 0.5000
S 0.0000 0.5000 0.5000
S 0.5000 0.0000 0.5000
CELL_PARAMETERS angstrom
4.5645 0.0000 0.0000
0.0000 4.5645 0.0000
0.0000 0.0000 4.3706
```



Record 6
DFT (GGA-PBEsol) results for a relaxed MoPRhS2 crystal. Values from VASP.

Properties
SG	No. 123
ΔE to the lowest computed polymorph	0	meV/atom

```
&SYSTEM
  ibrav = 0, nat = 5, ntyp = 4
/
ATOMIC_SPECIES
Mo 95.94 Mo.upf
P 30.97 P.upf
Rh 102.91 Rh.upf
S 32.06 S.upf
ATOMIC_POSITIONS crystal
Mo 0.0000 0.0000 0.0000
P 0.0000 0.0000 0.5000
Rh 0.5000 0.5000 0.5000
S 0.0000 0.5000 0.0000
S 0.5000 0.0000 0.0000
CELL_PARAMETERS angstrom
4.4987 0.0000 0.0000
0.0000 4.4987 0.0000
0.0000 0.0000 4.6724
```



Record 7
DFT (GGA-PBEsol) results for a relaxed MoPRu2 crystal. Values from VASP.

Properties
SG	No. 139
formation energy	-0.04	eV/atom

```
&SYSTEM
  ibrav = 0, nat = 8, ntyp = 3
/
ATOMIC_SPECIES
Mo 95.94 Mo.upf
P 30.97 P.upf
Ru 101.07 Ru.upf
ATOMIC_POSITIONS crystal
Mo 0.0000 0.0000 0.0000
Mo 0.5000 0.5000 0.5000
P 0.0000 0.0000 0.5000
P 0.5000 0.5000 0.0000
Ru 0.0000 0.5000 0.2500
Ru 0.0000 0.5000 0.7500
Ru 0.5000 0.0000 0.2500
Ru 0.5000 0.0000 0.7500
CELL_PARAMETERS angstrom
3.7431 0.0000 0.0000
0.0000 3.7431 0.0000
0.0000 0.0000 7.5777
```



Record 8
DFT (GGA-PBEsol) results for a relaxed MoPRu2 crystal. Values from VASP.

Properties
SG	No. 216
formation energy	0.07	eV/atom

```
&SYSTEM
  ibrav = 0, nat = 16, ntyp = 3
/
ATOMIC_SPECIES
Mo 95.94 Mo.upf
P 30.97 P.upf
Ru 101.07 Ru.upf
ATOMIC_POSITIONS crystal
Mo 0.0000 0.0000 0.0000
Mo 0.0000 0.5000 0.5000
Mo 0.5000 0.0000 0.5000
Mo 0.5000 0.5000 0.0000
P 0.2500 0.2500 0.2500
P 0.2500 0.7500 0.7500
P 0.7500 0.2500 0.7500
P 0.7500 0.7500 0.2500
Ru 0.0000 0.0000 0.5000
Ru 0.0000 0.5000 0.0000
Ru 0.2500 0.2500 0.7500
Ru 0.2500 0.7500 0.2500
Ru 0.5000 0.0000 0.0000
Ru 0.5000 0.5000 0.5000
Ru 0.7500 0.2500 0.2500
Ru 0.7500 0.7500 0.7500
CELL_PARAMETERS angstrom
5.9787 0.0000 0.0000
0.0000 5.9787 0.0000
0.0000 0.0000 5.9787
```